{
  "formula": "NiAsIrF2",
  "functional": "PBE with a Hubbard U",
  "state": "relaxed",
  "sg": "P4/mmm",
  "total_energy_ev_per_cell": -18.4,
  "n_ef_per_ev_atom": 1.5351,
  "rho_g_cm3": 7.6,
  "lattice": [[-0.005, -0.212, 3.887], [4.453, -2.804, -0.147], [2.076, 3.288, 0.182]],
  "species": ["F", "F", "Ni", "As", "Ir"],
  "frac_coords": [[0.500, 0.000, 0.000], [0.000, 0.000, 0.500], [0.000, 0.500, 0.000], [0.500, 0.500, 0.500], [0.000, 0.000, 0.000]]
}